Compound: Mn2AsAuF
Source: Alexandria via LeMat-Bulk
Functional: PBE+U
Structure: relaxed

Properties
magnetic moment	9.833	μB per formula unit
energy	-4.807	eV per atom
N(E_F)	2.23	states/eV/cell

Geometry as CIF:
```
data_Mn2AsAuF
_chemical_formula_sum 'Mn2 As1 Au1 F1'
_symmetry_space_group_name_H-M 'P 4/m m m'
_symmetry_Int_Tables_number 123
_symmetry_space_group_name_Hall '-P 4 2'
_cell_length_a 5.259
_cell_length_b 5.259
_cell_length_c 4.714
_cell_angle_alpha 90.00
_cell_angle_beta 90.00
_cell_angle_gamma 90.00
loop_
_atom_site_label
_atom_site_type_symbol
_atom_site_fract_x
_atom_site_fract_y
_atom_site_fract_z
Mn1 Mn 0.000 0.500 0.000
As1 As 0.000 0.000 0.500
Au1 Au 0.000 0.000 0.000
F1 F 0.500 0.500 0.500
```